No. 1
The following is a DFT calculation (PBE) of a relaxed structure of Eu2InF.

Summary:
Crystal system: trigonal
E_form (uncorrected) (kJ/mol of formula units): -545
ΔE to the lowest computed polymorph (eV per formula unit): 0.00
SG: R-3m
Calculated total energy (eV per atom): -7.702

a b c (Å): 3.938 3.938 8.253
angles (deg): 76.20 76.20 60.00
Last column: magnetic moment on the atom in μB.
Fractional positions:
In (0.500, 0.500, 0.500)  -0.02
Eu (0.269, 0.269, 0.192)  6.98
Eu (0.731, 0.731, 0.808)  6.98
F (0.000, 0.000, 0.000)  -0.01

No. 2
The following is a DFT calculation (PBE) of a relaxed structure of KHg2W.

Summary:
Crystal system: monoclinic
ΔE to the lowest computed polymorph (eV per formula unit): 0.22
SG: Pm
ΔE_f (meV/atom): 743
Calculated total energy (eV per atom): -2.920

a b c (Å): 5.454 2.931 5.455
angles (deg): 90.00 90.00 90.00
Last column: magnetic moment on the atom in μB.
Fractional positions:
K (0.000, 0.626, 0.376)  0.00
Hg (0.000, 0.125, 0.876)  0.00
Hg (0.500, 0.126, 0.374)  0.00
W (0.500, 0.624, 0.875)  0.56